# UPaMo2

A geometry-optimized UPaMo2 structure (PBE, Alexandria via LeMat-Bulk).

```
4
Lattice="3.386 0.000 0.000 0.000 3.386 0.000 0.000 0.000 7.020" Properties=species:S:1:pos:R:3 pbc="T T T"
Mo 0.000 0.000 5.475
Mo 0.000 0.000 1.545
Pa 1.693 1.693 3.510
U 1.693 1.693 0.000
```

Formation energy   0.279 eV/atom
SG   No. 123



# MgAsI2

A geometry-optimized MgAsI2 structure (PBE, Alexandria via LeMat-Bulk).

```
4
Lattice="4.197 -2.127 2.549 -0.019 -5.185 1.323 3.226 -3.424 -2.551" Properties=species:S:1:pos:R:3 pbc="T T T"
I 1.851 -2.684 0.330
I 5.553 -8.052 0.991
As 3.702 -5.368 0.661
Mg 0.000 0.000 0.000
```

Formation energy without anion corrections   0.241 eV per atom
SG   No. 225



# LiBeMo2

A geometry-optimized LiBeMo2 structure (PBE, Alexandria via LeMat-Bulk).

```
4
Lattice="-1.504 -0.282 2.057 -2.929 -1.501 -2.347 1.956 -4.986 0.747" Properties=species:S:1:pos:R:3 pbc="T T T"
Be 0.970 -2.473 0.370
Li -0.775 -4.566 0.405
Mo 0.010 -0.025 0.004
Mo -1.704 -2.198 0.050
```

Formation energy   0.387 eV/atom
SG   No. 25